P) Below is a relaxed structure of MoAsPb3, with properties calculated at the GGA-PBE level.

Summary:
**Crystal system**: cubic
**Density of states at the Fermi level**: 0.65 states/eV/atom
**Calculated density**: 8.32 g/cm³

a = 5.408 Å, b = 5.408 Å, c = 5.408 Å
α = 90.00°, β = 90.00°, γ = 90.00°
Sites, in units of the cell vectors:
Mo (0.000, 0.000, 0.000)
As (0.500, 0.500, 0.500)
Pb (0.000, 0.000, 0.500)
Pb (0.000, 0.500, 0.000)
Pb (0.500, 0.000, 0.000)


Q) Below is a relaxed structure of MoAsPb3, with properties calculated at the GGA-PBE level.

Summary:
**Crystal system**: cubic
**Density of states at the Fermi level**: 0.69 states/eV/atom
**Calculated density**: 7.66 g/cm³

a = 5.559 Å, b = 5.559 Å, c = 5.559 Å
α = 90.00°, β = 90.00°, γ = 90.00°
Sites, in units of the cell vectors:
Mo (0.000, 0.000, 0.000)
As (0.500, 0.500, 0.500)
Pb (0.000, 0.500, 0.500)
Pb (0.500, 0.000, 0.500)
Pb (0.500, 0.500, 0.000)


P) is favored, and the nearest alternative lies 479 meV/atom above it.


P) Below is a relaxed structure of MoAsPd3, with properties calculated at the GGA-PBE level.

Summary:
**Crystal system**: cubic
**Density of states at the Fermi level**: 1.19 states/eV/atom
**Calculated density**: 7.41 g/cm³

a = 4.790 Å, b = 4.790 Å, c = 4.790 Å
α = 90.00°, β = 90.00°, γ = 90.00°
Sites, in units of the cell vectors:
Mo (0.000, 0.000, 0.000)
As (0.500, 0.500, 0.500)
Pd (0.000, 0.000, 0.500)
Pd (0.000, 0.500, 0.000)
Pd (0.500, 0.000, 0.000)


Q) Below is a relaxed structure of MoAsPd3, with properties calculated at the GGA-PBE level.

Summary:
**Crystal system**: cubic
**Density of states at the Fermi level**: 1.01 states/eV/atom
**Calculated density**: 8.18 g/cm³

a = 4.634 Å, b = 4.634 Å, c = 4.634 Å
α = 90.00°, β = 90.00°, γ = 90.00°
Sites, in units of the cell vectors:
Mo (0.000, 0.000, 0.000)
As (0.500, 0.500, 0.500)
Pd (0.000, 0.500, 0.500)
Pd (0.500, 0.000, 0.500)
Pd (0.500, 0.500, 0.000)


Q) is favored, and the nearest alternative lies 580 meV/atom above it.


P) Below is a relaxed structure of RbMoAs2Se, with properties calculated at the GGA-PBE level.

Summary:
**Crystal system**: tetragonal
**Density of states at the Fermi level**: 0.87 states/eV/atom
**Calculated density**: 5.30 g/cm³

a = 4.949 Å, b = 4.949 Å, c = 5.247 Å
α = 90.00°, β = 90.00°, γ = 90.00°
Sites, in units of the cell vectors:
Rb (0.000, 0.000, 0.000)
Mo (0.500, 0.500, 0.500)
As (0.000, 0.500, 0.500)
As (0.500, 0.000, 0.500)
Se (0.500, 0.500, 0.000)


Q) Below is a relaxed structure of RbMoAs2Se, with properties calculated at the GGA-PBE level.

Summary:
**Crystal system**: tetragonal
**Density of states at the Fermi level**: 2.91 states/eV/atom
**Calculated density**: 4.50 g/cm³

a = 5.277 Å, b = 5.277 Å, c = 5.434 Å
α = 90.00°, β = 90.00°, γ = 90.00°
Sites, in units of the cell vectors:
Rb (0.000, 0.000, 0.000)
Mo (0.500, 0.500, 0.500)
As (0.000, 0.500, 0.000)
As (0.500, 0.000, 0.000)
Se (0.000, 0.000, 0.500)


P) is favored, and the nearest alternative lies 2521 meV/atom above it.


P) Below is a relaxed structure of RbMoAsSe2, with properties calculated at the GGA-PBE level.

Summary:
**Crystal system**: tetragonal
**Density of states at the Fermi level**: 3.35 states/eV/atom
**Calculated density**: 4.31 g/cm³

a = 5.473 Å, b = 5.473 Å, c = 5.325 Å
α = 90.00°, β = 90.00°, γ = 90.00°
Sites, in units of the cell vectors:
Rb (0.000, 0.000, 0.000)
Mo (0.500, 0.500, 0.500)
As (0.000, 0.000, 0.500)
Se (0.000, 0.500, 0.000)
Se (0.500, 0.000, 0.000)


Q) Below is a relaxed structure of RbMoAsSe2, with properties calculated at the GGA-PBE level.

Summary:
**Crystal system**: tetragonal
**Density of states at the Fermi level**: 0.74 states/eV/atom
**Calculated density**: 5.32 g/cm³

a = 5.124 Å, b = 5.124 Å, c = 4.926 Å
α = 90.00°, β = 90.00°, γ = 90.00°
Sites, in units of the cell vectors:
Rb (0.000, 0.000, 0.000)
Mo (0.500, 0.500, 0.500)
As (0.500, 0.500, 0.000)
Se (0.000, 0.500, 0.500)
Se (0.500, 0.000, 0.500)


Q) is favored, and the nearest alternative lies 2524 meV/atom above it.


P) Below is a relaxed structure of ReMoAs, with properties calculated at the GGA-PBE level.

Summary:
**Crystal system**: tetragonal
**Density of states at the Fermi level**: 0.55 states/eV/atom
**Calculated density**: 13.15 g/cm³

a = 5.444 Å, b = 5.444 Å, c = 5.444 Å
α = 148.02°, β = 148.02°, γ = 45.85°
Sites, in units of the cell vectors:
Re (0.000, 0.000, 0.000)
Mo (0.681, 0.681, 0.000)
As (0.348, 0.348, 0.000)


Q) Below is a relaxed structure of ReMoAs, with properties calculated at the GGA-PBE level.

Summary:
**Crystal system**: trigonal
**Density of states at the Fermi level**: 0.45 states/eV/atom
**Calculated density**: 12.68 g/cm³

a = 2.889 Å, b = 2.889 Å, c = 6.468 Å
α = 90.00°, β = 90.00°, γ = 120.00°
Sites, in units of the cell vectors:
Re (0.000, 0.000, 0.000)
Mo (0.667, 0.333, 0.675)
As (0.333, 0.667, 0.334)


R) Below is a relaxed structure of ReMoAs, with properties calculated at the GGA-PBE level.

Summary:
**Crystal system**: cubic
**Density of states at the Fermi level**: 0.57 states/eV/atom
**Calculated density**: 11.16 g/cm³

a = 4.219 Å, b = 4.219 Å, c = 4.219 Å
α = 60.00°, β = 60.00°, γ = 60.00°
Sites, in units of the cell vectors:
Re (0.000, 0.000, 0.000)
Mo (0.750, 0.750, 0.750)
As (0.250, 0.250, 0.250)


S) Below is a relaxed structure of ReMoAs, with properties calculated at the GGA-PBE level.

Summary:
**Crystal system**: trigonal
**Density of states at the Fermi level**: 0.63 states/eV/atom
**Calculated density**: 11.23 g/cm³

a = 7.188 Å, b = 7.188 Å, c = 7.188 Å
α = 34.37°, β = 34.37°, γ = 34.37°
Sites, in units of the cell vectors:
Re (0.141, 0.141, 0.141)
Re (0.859, 0.859, 0.859)
Mo (0.433, 0.433, 0.433)
Mo (0.567, 0.567, 0.567)
As (0.290, 0.290, 0.290)
As (0.710, 0.710, 0.710)


P) is favored, and the nearest alternative lies 76 meV/atom above it.


P) Below is a relaxed structure of ReMoAs, with properties calculated at the GGA-PBE level.

Summary:
**Crystal system**: orthorhombic
**Density of states at the Fermi level**: 0.51 states/eV/atom
**Calculated density**: 12.72 g/cm³

a = 4.592 Å, b = 4.592 Å, c = 4.592 Å
α = 142.50°, β = 126.59°, γ = 67.08°
Sites, in units of the cell vectors:
Re (0.000, 0.000, 0.000)
Mo (0.338, 0.338, 0.000)
As (0.669, 0.669, 0.000)


Q) Below is a relaxed structure of ReMoAs, with properties calculated at the GGA-PBE level.

Summary:
**Crystal system**: orthorhombic
**Density of states at the Fermi level**: 1.02 states/eV/atom
**Calculated density**: 12.19 g/cm³

a = 7.058 Å, b = 6.853 Å, c = 2.799 Å
α = 82.54°, β = 74.30°, γ = 23.16°
Sites, in units of the cell vectors:
Re (0.000, 0.000, 0.000)
Mo (0.347, 0.347, 0.653)
As (0.677, 0.677, 0.323)


R) Below is a relaxed structure of ReMoAs, with properties calculated at the GGA-PBE level.

Summary:
**Crystal system**: hexagonal
**Density of states at the Fermi level**: 0.40 states/eV/atom
**Calculated density**: 12.85 g/cm³

a = 4.278 Å, b = 4.278 Å, c = 2.910 Å
α = 90.00°, β = 90.00°, γ = 120.00°
Sites, in units of the cell vectors:
Re (0.000, 0.000, 0.000)
Mo (0.667, 0.333, 0.500)
As (0.333, 0.667, 0.000)


R) is favored, and the nearest alternative lies 164 meV/atom above it.